The following is a DFT calculation (PBE-GGA) of a relaxed NaY3Mg crystal.

Cell lengths 5.743, 5.743, 5.743 Å; angles 90.00, 90.00, 90.00 degrees
Positions (direct):
Na1 0.000 0.000 0.000
Y1 0.000 0.500 0.500
Y2 0.500 0.000 0.500
Y3 0.500 0.500 0.000
Mg1 0.500 0.500 0.500

Results
Total DFT energy (no corrections) in eV/atom: -3.84
Symmetry: Pm-3m

=====

The following is a DFT calculation (PBE-GGA) of a relaxed Pr4Dy3Y4 crystal.

Cell lengths 12.222, 12.222, 12.222 Å; angles 162.94, 134.66, 48.78 degrees
Positions (direct):
Pr1 0.035 0.857 0.178
Pr2 0.321 0.143 0.178
Pr3 0.679 0.857 0.822
Pr4 0.965 0.143 0.822
Dy1 0.000 0.500 0.500
Dy2 0.392 0.392 0.000
Dy3 0.608 0.608 0.000
Y1 0.260 0.760 0.500
Y2 0.318 0.000 0.318
Y3 0.682 0.000 0.682
Y4 0.740 0.240 0.500

Results
Total DFT energy (no corrections) in eV/atom: -5.22
Symmetry: Immm

=====

| no. | magnetic moment (μB/atom) | excess energy over the best structure of this formula in the dataset (meV/atom) | ΔE_f (eV per atom) |
| --- | --- | --- | --- |
| 1 | 0.000 | 0 | 0.619 |
| 2 | 0.000 | 0 | 0.124 |